{
  "formula": "NdTlZnSe3",
  "functional": "GGA-PBE",
  "state": "optimized geometry",
  "polymorph_energy_kj_per_mol_fu": 55,
  "magnetic_moment_mub_per_cell": 0.01,
  "lattice_angstrom": [[-5.247, 5.347, -4.416], [-3.448, -1.437, 2.357], [2.704, 11.928, 11.228]],
  "species": ["Nd", "Nd", "Nd", "Nd", "Se", "Se", "Se", "Se", "Se", "Se", "Se", "Se", "Se", "Se", "Se", "Se", "Tl", "Tl", "Tl", "Tl", "Zn", "Zn", "Zn", "Zn"],
  "fractional_positions": [[0.750, 0.250, 0.048], [0.250, 0.250, 0.452], [0.750, 0.750, 0.548], [0.250, 0.750, 0.952], [0.371, 0.250, 0.050], [0.005, 0.750, 0.091], [0.697, 0.250, 0.217], [0.197, 0.250, 0.283], [0.505, 0.750, 0.409], [0.871, 0.250, 0.450], [0.129, 0.750, 0.550], [0.495, 0.250, 0.591], [0.803, 0.750, 0.717], [0.303, 0.750, 0.783], [0.995, 0.250, 0.909], [0.629, 0.750, 0.950], [0.431, 0.750, 0.211], [0.931, 0.750, 0.289], [0.069, 0.250, 0.711], [0.569, 0.250, 0.789], [0.141, 0.250, 0.139], [0.641, 0.250, 0.361], [0.359, 0.750, 0.639], [0.859, 0.750, 0.861]]
}